Entry 1:
Here is a relaxed structure of LaEuGdZn from Alexandria via LeMat-Bulk. Energies are from PBE.

```
LaEuGdZn
1.0
5.487 0.000 0.000
2.743 4.752 0.000
2.743 1.584 4.480
Eu Zn Gd La
1 1 1 1
Direct
0.000 0.000 0.000 Eu
0.500 0.500 0.500 Zn
0.250 0.250 0.250 Gd
0.750 0.750 0.750 La
```

Properties
The energy comes out at -7.60 eV per atom.

***

Entry 2:
Here is a relaxed structure of LiEuGd2 from Alexandria via LeMat-Bulk. Energies are from PBE.

```
LiEuGd2
1.0
3.924 0.000 0.000
0.000 5.621 0.000
0.000 0.000 5.621
Eu Gd Li
1 2 1
Direct
0.500 0.000 0.000 Eu
0.000 0.000 0.500 Gd
0.000 0.500 0.000 Gd
0.500 0.500 0.500 Li
```

Properties
The energy comes out at -9.89 eV per atom.

***

Entry 3:
Here is a relaxed structure of LiEuGdLu from Alexandria via LeMat-Bulk. Energies are from PBE.

```
LiEuGdLu
1.0
-3.486 -2.989 -3.173
1.948 -2.779 -4.431
0.235 -5.576 0.085
Eu Gd Lu Li
1 1 1 1
Direct
0.250 0.250 0.250 Eu
0.750 0.750 0.750 Gd
0.500 0.500 0.500 Lu
0.000 0.000 0.000 Li
```

Properties
The energy comes out at -7.50 eV per atom.

***

Entry 4:
Here is a relaxed structure of LiEuGdMg from Alexandria via LeMat-Bulk. Energies are from PBE.

```
LiEuGdMg
1.0
-3.841 2.057 -3.409
-1.124 -2.565 -4.771
-4.818 -2.640 -0.653
Eu Mg Gd Li
1 1 1 1
Direct
0.750 0.750 0.750 Eu
0.000 0.000 0.000 Mg
0.250 0.250 0.250 Gd
0.500 0.500 0.500 Li
```

Properties
The energy comes out at -6.92 eV per atom.

***

Entry 5:
Here is a relaxed structure of LiEuGdOs from Alexandria via LeMat-Bulk. Energies are from PBE.

```
LiEuGdOs
1.0
-3.213 -0.362 3.805
1.328 -2.406 4.168
0.815 2.560 4.208
Eu Gd Os Li
1 1 1 1
Direct
0.750 0.750 0.750 Eu
0.250 0.250 0.250 Gd
0.000 0.000 0.000 Os
0.500 0.500 0.500 Li
```

Properties
The energy comes out at -9.36 eV per atom.

***

Entry 6:
Here is a relaxed structure of LiEuGdPb from Alexandria via LeMat-Bulk. Energies are from PBE.

```
LiEuGdPb
1.0
-4.735 -1.288 2.432
-0.469 -4.706 2.761
-0.377 0.056 5.463
Pb Eu Gd Li
1 1 1 1
Direct
0.500 0.500 0.500 Pb
0.750 0.750 0.750 Eu
0.250 0.250 0.250 Gd
0.000 0.000 0.000 Li
```

Properties
The energy comes out at -7.81 eV per atom.

***

Entry 7:
Here is a relaxed structure of LiEuGdRu from Alexandria via LeMat-Bulk. Energies are from PBE.

```
LiEuGdRu
1.0
5.012 0.000 0.000
2.506 4.341 0.000
2.506 1.447 4.092
Eu Ru Gd Li
1 1 1 1
Direct
0.500 0.500 0.500 Eu
0.750 0.750 0.750 Ru
0.000 0.000 0.000 Gd
0.250 0.250 0.250 Li
```

Properties
The energy comes out at -8.94 eV per atom.

***

Entry 8:
Here is a relaxed structure of LiEuGdSc from Alexandria via LeMat-Bulk. Energies are from PBE.

```
LiEuGdSc
1.0
5.498 0.000 0.000
2.749 4.761 0.000
2.749 1.587 4.489
Eu Sc Gd Li
1 1 1 1
Direct
0.750 0.750 0.750 Eu
0.500 0.500 0.500 Sc
0.250 0.250 0.250 Gd
0.000 0.000 0.000 Li
```

Properties
The energy comes out at -7.94 eV per atom.

***

Entry 9:
Here is a relaxed structure of LiEuGdSi from Alexandria via LeMat-Bulk. Energies are from PBE.

```
LiEuGdSi
1.0
5.133 0.000 0.000
2.566 4.445 0.000
2.566 1.482 4.191
Eu Si Gd Li
1 1 1 1
Direct
0.250 0.250 0.250 Eu
0.500 0.500 0.500 Si
0.750 0.750 0.750 Gd
0.000 0.000 0.000 Li
```

Properties
The energy comes out at -8.22 eV per atom. Its raw formation energy is -0.3014 eV/atom.

***

Entry 10:
Here is a relaxed structure of LiSmEuGd from Alexandria via LeMat-Bulk. Energies are from PBE.

```
LiSmEuGd
1.0
-1.353 0.973 5.418
2.739 -2.737 4.141
3.598 2.812 3.359
Eu Gd Sm Li
1 1 1 1
Direct
0.750 0.750 0.750 Eu
0.000 0.000 0.000 Gd
0.250 0.250 0.250 Sm
0.500 0.500 0.500 Li
```

Properties
The energy comes out at -7.53 eV per atom.

***

Entry 11:
Here is a relaxed structure of LiEuGdTc from Alexandria via LeMat-Bulk. Energies are from PBE.

```
LiEuGdTc
1.0
-2.334 0.894 4.360
-4.155 -2.561 1.197
0.132 -3.430 3.671
Eu Gd Tc Li
1 1 1 1
Direct
0.500 0.500 0.500 Eu
0.000 0.000 0.000 Gd
0.750 0.750 0.750 Tc
0.250 0.250 0.250 Li
```

Properties
The energy comes out at -8.94 eV per atom.

***

Entry 12:
Here is a relaxed structure of LiEuGdY from Alexandria via LeMat-Bulk. Energies are from PBE.

```
LiEuGdY
1.0
-1.381 -4.777 2.664
1.958 -4.945 -1.880
3.895 -2.803 2.966
Eu Y Gd Li
1 1 1 1
Direct
0.250 0.250 0.250 Eu
0.750 0.750 0.750 Y
0.500 0.500 0.500 Gd
0.000 0.000 0.000 Li
```

Properties
The energy comes out at -7.96 eV per atom.

***

Among the records above, which one has the lowest energy? LiEuGd2